1.
First-principles (PBE-GGA) data for CdTe after structural relaxation, as listed in Alexandria via LeMat-Bulk.

Cell and atoms, written as POSCAR:
```
CdTe
1.0
-2.909 -8.686 -1.984
6.656 -3.046 3.578
-3.884 -0.293 6.977
Cd Te
8 8
direct
0.864 0.588 0.671
0.364 0.912 0.329
0.136 0.088 0.829
0.636 0.412 0.171
0.136 0.412 0.329
0.636 0.088 0.671
0.864 0.912 0.171
0.364 0.588 0.829
0.369 0.910 0.691
0.869 0.590 0.309
0.631 0.410 0.809
0.131 0.090 0.191
0.631 0.090 0.309
0.131 0.410 0.691
0.369 0.590 0.191
0.869 0.910 0.809
```

Values from the calculation:
- formation energy (no corrections) (meV/atom) = -423
- density (g/cm3) = 5.2

2.
First-principles (PBE-GGA) data for LiMgCd3Ag after structural relaxation, as listed in Alexandria via LeMat-Bulk.

Cell and atoms, written as POSCAR:
```
LiMgCd3Ag
1.0
3.747 0.000 0.000
0.000 7.421 -0.503
0.000 -3.319 8.759
Li Mg Cd Ag
2 2 6 2
direct
0.750 0.886 0.703
0.250 0.114 0.297
0.250 0.635 0.141
0.750 0.365 0.859
0.250 0.647 0.469
0.750 0.883 0.055
0.750 0.360 0.210
0.750 0.353 0.531
0.250 0.640 0.790
0.250 0.117 0.945
0.250 0.110 0.626
0.750 0.890 0.374
```

Values from the calculation:
- ΔE_f (eV/f.u.) = -0.874
- density of states at the Fermi level (states/eV/cell) = 3.2
- density (g/cm3) = 6.7

3.
First-principles (PBE-GGA) data for BeNiTe after structural relaxation, as listed in Alexandria via LeMat-Bulk.

Cell and atoms, written as POSCAR:
```
BeNiTe
1.0
-3.061 0.181 -2.161
-0.541 -3.774 0.451
-3.941 3.215 5.849
Be Te Ni
2 2 2
direct
0.096 0.967 0.551
0.596 0.469 0.555
0.096 0.162 0.941
0.596 0.860 0.336
0.096 0.556 0.728
0.596 0.045 0.707
```

Values from the calculation:
- density of states at the Fermi level (states/eV/cell) = 3.4
- formation energy (no corrections) (meV/atom) = -152
- density (g/cm3) = 6.0

4.
First-principles (PBE-GGA) data for Tm7Cd2Ga2 after structural relaxation, as listed in Alexandria via LeMat-Bulk.

Cell and atoms, written as POSCAR:
```
Tm7Cd2Ga2
1.0
6.369 -0.002 -0.959
0.006 7.932 0.001
-1.354 -0.002 6.297
Tm Cd Ga
7 2 2
direct
0.000 0.297 0.500
0.500 0.703 0.000
0.000 0.703 0.500
0.500 0.297 0.000
0.000 0.000 0.000
0.500 0.720 0.500
0.500 0.280 0.500
0.700 0.000 0.300
0.300 0.000 0.700
0.827 0.500 0.827
0.173 0.500 0.173
```

Values from the calculation:
- ΔE_f (eV/f.u.) = -0.028
- density of states at the Fermi level (states/eV/cell) = 12.1
- density (g/cm3) = 8.3

5.
First-principles (PBE-GGA) data for KHgGeF6 after structural relaxation, as listed in Alexandria via LeMat-Bulk.

Cell and atoms, written as POSCAR:
```
KHgGeF6
1.0
-5.639 0.695 -2.395
-3.910 -4.765 -0.142
-1.774 1.321 4.556
K Hg Ge F
1 1 1 6
direct
0.000 0.000 0.000
0.666 0.666 0.500
0.333 0.333 0.500
0.091 0.328 0.291
0.328 0.091 0.709
0.581 0.329 0.709
0.090 0.582 0.708
0.328 0.581 0.291
0.582 0.090 0.292
```

Values from the calculation:
- density of states at the Fermi level (states/eV/cell) = 3.2
- formation energy (no corrections) (meV/atom) = -2220
- density (g/cm3) = 4.3

6.
First-principles (PBE-GGA) data for Pa4CoNi after structural relaxation, as listed in Alexandria via LeMat-Bulk.

Cell and atoms, written as POSCAR:
```
Pa4CoNi
1.0
5.388 0.000 0.000
0.000 6.735 0.000
0.000 0.000 6.735
Pa Co Ni
8 2 2
direct
0.000 0.161 0.655
0.000 0.839 0.345
0.000 0.345 0.161
0.000 0.655 0.839
0.500 0.839 0.655
0.500 0.161 0.345
0.500 0.655 0.161
0.500 0.345 0.839
0.250 0.500 0.500
0.750 0.500 0.500
0.250 0.000 0.000
0.750 0.000 0.000
```

Values from the calculation:
- ΔE_f (eV/f.u.) = -1.362
- density of states at the Fermi level (states/eV/cell) = 19.5
- density (g/cm3) = 14.2

7.
First-principles (PBE-GGA) data for Ta2ZnGaBr after structural relaxation, as listed in Alexandria via LeMat-Bulk.

Cell and atoms, written as POSCAR:
```
Ta2ZnGaBr
1.0
-1.707 0.538 -4.416
0.289 -4.714 -0.686
-4.439 -0.512 1.653
Zn Ga Br Ta
1 1 1 2
direct
0.000 0.500 0.000
0.500 0.500 0.500
0.000 0.000 0.000
0.000 0.000 0.500
0.500 0.000 0.000
```

Values from the calculation:
- density of states at the Fermi level (states/eV/cell) = 3.3
- formation energy (no corrections) (meV/atom) = 1495
- density (g/cm3) = 8.8

8.
First-principles (PBE-GGA) data for La6CoSn2Rh after structural relaxation, as listed in Alexandria via LeMat-Bulk.

Cell and atoms, written as POSCAR:
```
La6CoSn2Rh
1.0
-4.758 -5.235 -2.733
0.838 -4.077 6.339
-2.273 7.318 0.468
La Co Sn Rh
6 1 2 1
direct
0.759 0.759 0.999
0.748 0.748 0.496
0.241 0.241 0.000
0.759 0.241 0.000
0.252 0.252 0.504
0.241 0.760 0.000
0.000 0.000 0.000
0.750 0.250 0.500
0.250 0.750 0.500
0.500 0.500 0.000
```

Values from the calculation:
- ΔE_f (eV/f.u.) = -5.101
- density of states at the Fermi level (states/eV/cell) = 7.2
- density (g/cm3) = 6.5

9.
First-principles (PBE-GGA) data for LiY2Fe after structural relaxation, as listed in Alexandria via LeMat-Bulk.

Cell and atoms, written as POSCAR:
```
LiY2Fe
1.0
10.061 0.008 0.005
9.497 3.321 0.005
9.497 1.617 2.901
Fe Li Y
1 1 2
direct
0.496 0.496 0.496
0.765 0.765 0.765
0.004 0.004 0.004
0.235 0.235 0.235
```

Values from the calculation:
- ΔE_f (eV/f.u.) = 1.689
- density of states at the Fermi level (states/eV/cell) = 4.9
- density (g/cm3) = 4.1

10.
First-principles (PBE-GGA) data for KBa2Pb after structural relaxation, as listed in Alexandria via LeMat-Bulk.

Cell and atoms, written as POSCAR:
```
KBa2Pb
1.0
5.336 0.015 -0.013
3.491 4.036 -0.013
1.446 0.664 11.305
Ba K Pb
2 1 1
direct
0.973 0.973 0.078
0.527 0.527 0.422
0.750 0.750 0.750
0.250 0.250 0.250
```

Values from the calculation:
- ΔE_f (eV/f.u.) = -0.831
- density of states at the Fermi level (states/eV/cell) = 2.0
- density (g/cm3) = 3.6

11.
First-principles (PBE-GGA) data for Ce2Si3SbPt4 after structural relaxation, as listed in Alexandria via LeMat-Bulk.

Cell and atoms, written as POSCAR:
```
Ce2Si3SbPt4
1.0
4.343 0.000 0.000
0.000 4.343 0.000
0.000 0.000 10.146
Ce Si Sb Pt
2 3 1 4
direct
0.500 0.000 0.238
0.000 0.500 0.762
0.000 0.000 0.500
0.500 0.000 0.877
0.000 0.500 0.123
0.500 0.500 0.500
0.500 0.500 0.000
0.000 0.000 0.000
0.500 0.000 0.642
0.000 0.500 0.358
```

Values from the calculation:
- density of states at the Fermi level (states/eV/cell) = 11.7
- formation energy (no corrections) (meV/atom) = -954
- density (g/cm3) = 11.0

12.
First-principles (PBE-GGA) data for NdMg2Cd after structural relaxation, as listed in Alexandria via LeMat-Bulk.

Cell and atoms, written as POSCAR:
```
NdMg2Cd
1.0
-1.535 -4.956 -0.332
4.243 1.565 -2.564
1.988 1.795 4.457
Nd Mg Cd
1 2 1
direct
0.125 0.312 0.438
0.125 0.813 0.937
0.625 0.063 0.688
0.625 0.562 0.188
```

Values from the calculation:
- ΔE_f (eV/f.u.) = -0.928
- distance to the lowest polymorph of the same formula (eV/atom) = 0.0000
- density of states at the Fermi level (states/eV/cell) = 2.0
- density (g/cm3) = 5.1

13.
First-principles (PBE-GGA) data for Co2TeCl after structural relaxation, as listed in Alexandria via LeMat-Bulk.

Cell and atoms, written as POSCAR:
```
Co2TeCl
1.0
-0.483 0.802 5.139
-0.524 -5.118 0.905
3.390 3.707 -1.435
Te Co Cl
1 2 1
direct
0.750 0.250 0.500
0.013 0.013 0.000
0.487 0.487 0.000
0.250 0.750 0.500
```

Values from the calculation:
- distance to the lowest polymorph of the same formula (eV/atom) = 0.5475
- density of states at the Fermi level (states/eV/cell) = 7.3
- formation energy (no corrections) (meV/atom) = 478
- density (g/cm3) = 5.9

14.
First-principles (PBE-GGA) data for AlIn3P after structural relaxation, as listed in Alexandria via LeMat-Bulk.

Cell and atoms, written as POSCAR:
```
AlIn3P
1.0
-4.570 2.499 0.238
-1.551 -2.422 -4.349
-1.974 -3.882 2.866
P Al In
1 1 3
direct
0.000 0.000 0.000
0.500 0.500 0.500
0.000 0.500 0.000
0.000 0.000 0.500
0.500 0.000 0.000
```

Values from the calculation:
- ΔE_f (eV/f.u.) = 2.410
- distance to the lowest polymorph of the same formula (eV/atom) = 0.0000
- density of states at the Fermi level (states/eV/cell) = 3.1
- density (g/cm3) = 4.7

15.
First-principles (PBE-GGA) data for GaNi2Cl after structural relaxation, as listed in Alexandria via LeMat-Bulk.

Cell and atoms, written as POSCAR:
```
GaNi2Cl
1.0
0.071 -4.216 -0.652
-3.533 -2.020 -1.281
-0.251 -1.549 -3.967
Ni Ga Cl
2 1 1
direct
0.250 0.250 0.250
0.750 0.750 0.750
0.500 0.500 0.500
0.000 0.000 0.000
```

Values from the calculation:
- distance to the lowest polymorph of the same formula (eV/atom) = 0.0765
- density of states at the Fermi level (states/eV/cell) = 0.8
- formation energy (no corrections) (meV/atom) = 251
- density (g/cm3) = 6.7

16.
First-principles (PBE-GGA) data for NiSeI after structural relaxation, as listed in Alexandria via LeMat-Bulk.

Cell and atoms, written as POSCAR:
```
NiSeI
1.0
-2.412 -2.292 1.507
3.621 -2.088 2.618
-0.313 7.141 6.127
Ni Se I
2 2 2
direct
0.304 0.250 0.113
0.696 0.750 0.887
0.724 0.250 0.944
0.276 0.750 0.056
0.899 0.250 0.311
0.101 0.750 0.689
```

Values from the calculation:
- density of states at the Fermi level (states/eV/cell) = 3.9
- formation energy (no corrections) (meV/atom) = -205
- density (g/cm3) = 5.3

17.
First-principles (PBE-GGA) data for Tb2SF3 after structural relaxation, as listed in Alexandria via LeMat-Bulk.

Cell and atoms, written as POSCAR:
```
Tb2SF3
1.0
4.031 0.000 0.000
-2.015 7.345 -0.520
0.000 -3.827 7.010
Tb S F
4 2 6
direct
0.490 0.980 0.760
0.510 0.020 0.240
0.780 0.560 0.247
0.220 0.440 0.753
0.861 0.721 0.995
0.139 0.279 0.005
0.315 0.630 0.614
0.930 0.860 0.584
0.613 0.227 0.659
0.387 0.773 0.341
0.070 0.140 0.416
0.685 0.370 0.386
```

Values from the calculation:
- density of states at the Fermi level (states/eV/cell) = 3.1
- formation energy (no corrections) (meV/atom) = -3228
- density (g/cm3) = 6.8

18.
First-principles (PBE-GGA) data for BeCuTc2 after structural relaxation, as listed in Alexandria via LeMat-Bulk.

Cell and atoms, written as POSCAR:
```
BeCuTc2
1.0
-0.308 2.805 -0.535
-2.522 -0.015 1.373
2.859 1.319 5.266
Be Tc Cu
1 2 1
direct
0.000 0.000 0.513
0.000 0.000 0.014
0.500 0.500 0.265
0.500 0.500 0.708
```

Values from the calculation:
- ΔE_f (eV/f.u.) = 0.227
- density of states at the Fermi level (states/eV/cell) = 3.1
- density (g/cm3) = 8.8

19.
First-principles (PBE-GGA) data for La4Nd3Cd after structural relaxation, as listed in Alexandria via LeMat-Bulk.

Cell and atoms, written as POSCAR:
```
La4Nd3Cd
1.0
-1.508 -1.768 -3.543
3.791 -1.740 -0.745
-4.162 -12.496 8.006
Cd Nd La
1 3 4
direct
0.500 0.500 0.000
0.500 0.500 0.253
0.500 0.500 0.500
0.500 0.500 0.747
0.000 0.000 0.888
0.000 0.000 0.112
0.000 0.000 0.382
0.000 0.000 0.618
```

Values from the calculation:
- ΔE_f (eV/f.u.) = 0.003
- density of states at the Fermi level (states/eV/cell) = 12.5
- density (g/cm3) = 6.6

Number 1: spin magnetization 0.00 μB/f.u.. Number 2: spin magnetization 0.00 μB/f.u.. Number 3: spin magnetization 0.00 μB/f.u.. Number 4: spin magnetization 0.00 μB/f.u.. Number 5: spin magnetization 0.52 μB/f.u.. Number 6: spin magnetization 0.00 μB/f.u.. Number 7: spin magnetization 0.00 μB/f.u.. Number 8: spin magnetization 0.00 μB/f.u.. Number 9: spin magnetization 2.79 μB/f.u.. Number 10: spin magnetization 0.00 μB/f.u.. Number 11: spin magnetization 0.80 μB/f.u.. Number 12: spin magnetization 0.00 μB/f.u.. Number 13: spin magnetization 3.82 μB/f.u.. Number 14: spin magnetization 0.00 μB/f.u.. Number 15: spin magnetization 0.00 μB/f.u.. Number 16: spin magnetization 0.00 μB/f.u.. Number 17: spin magnetization 0.11 μB/f.u.. Number 18: spin magnetization 0.00 μB/f.u.. Number 19: spin magnetization 0.00 μB/f.u..